Entry 1:
Density functional theory data (GGA-PBE) for crystalline Na2HoPaTe4 at its relaxed geometry.

SG: P2/m
Formation energy (no corrections), eV per atom: -1.061

Cell: 4.342 7.624 8.077 Å, 107.89 90.00 90.00°
Last column: magnetic moment on the atom in μB.
Element x y z (fractional)
Na  0.500  0.000  0.500  0.00
Na  0.000  0.500  0.500  0.00
Ho  0.000  0.000  0.000  0.13
Pa  0.500  0.500  0.000  1.42
Te  0.500  0.242  0.234  -0.02
Te  0.500  0.758  0.766  -0.02
Te  0.000  0.250  0.762  -0.03
Te  0.000  0.750  0.238  -0.03

---

Entry 2:
Density functional theory data (GGA-PBE) for crystalline Ta2FeAs at its relaxed geometry.

SG: Imm2
ΔH_f (0 K), eV per atom: -0.077

Cell: 5.143 5.143 4.392 Å, 64.69 64.69 36.85°
Last column: magnetic moment on the atom in μB.
Element x y z (fractional)
As  0.523  0.523  0.477  0.01
Fe  0.241  0.241  0.259  1.56
Ta  0.982  0.982  0.018  -0.07
Ta  0.754  0.754  0.746  -0.06

---

Entry 3:
Density functional theory data (GGA-PBE) for crystalline Li5ZrPd6 at its relaxed geometry.

SG: P2/m
ΔH_f (0 K), eV per atom: -0.525

Cell: 4.174 6.782 6.533 Å, 90.00 108.73 90.00°
Element x y z (fractional)
Pd  0.831  0.743  0.663
Pd  0.831  0.257  0.663
Pd  0.500  0.260  0.000
Pd  0.500  0.740  0.000
Pd  0.169  0.743  0.337
Pd  0.169  0.257  0.337
Zr  0.000  0.000  0.000
Li  0.667  0.500  0.333
Li  0.323  0.000  0.648
Li  0.000  0.500  0.000
Li  0.677  0.000  0.352
Li  0.333  0.500  0.667

---

Entry 4:
Density functional theory data (GGA-PBE) for crystalline KNiPt2 at its relaxed geometry.

SG: P4/mmm
ΔH_f (0 K), eV per atom: 0.552
ΔE to the lowest computed polymorph, meV/atom: 453

Cell: 4.317 4.020 4.020 Å, 90.00 90.00 90.00°
Last column: magnetic moment on the atom in μB.
Element x y z (fractional)
K  0.500  0.500  0.000  -0.01
Ni  0.500  0.000  0.500  0.80
Pt  0.000  0.000  0.000  0.17
Pt  0.000  0.500  0.500  0.17

---

Entry 5:
Density functional theory data (GGA-PBE) for crystalline SmTc2HgO8 at its relaxed geometry.

SG: P-3
Formation energy (no corrections), eV per atom: -1.695

Cell: 6.297 6.297 8.138 Å, 90.00 90.00 120.00°
Element x y z (fractional)
Sm  0.000  0.000  0.500
Tc  0.667  0.333  0.273
Tc  0.333  0.667  0.727
Hg  0.000  0.000  0.000
O  0.333  0.667  0.938
O  0.361  0.181  0.348
O  0.819  0.179  0.348
O  0.667  0.333  0.062
O  0.181  0.821  0.652
O  0.639  0.819  0.652
O  0.179  0.361  0.652
O  0.821  0.639  0.348

---

Entry 6:
Density functional theory data (GGA-PBE) for crystalline CsHfAsSe2 at its relaxed geometry.

SG: P4/mmm
Formation energy (no corrections), eV per atom: -0.775
ΔE to the lowest computed polymorph, meV/atom: 0

Cell: 5.319 5.319 5.293 Å, 90.00 90.00 90.00°
Last column: magnetic moment on the atom in μB.
Element x y z (fractional)
Cs  0.500  0.500  0.500  0.01
As  0.000  0.000  0.500  0.20
Hf  0.000  0.000  0.000  -0.02
Se  0.000  0.500  0.000  0.04
Se  0.500  0.000  0.000  0.04

---

Entry 7:
Density functional theory data (GGA-PBE) for crystalline Zn3PbCl at its relaxed geometry.

SG: Pm-3m
Formation energy (no corrections), eV per atom: 0.430
ΔE to the lowest computed polymorph, meV/atom: 233

Cell: 5.055 5.055 5.055 Å, 90.00 90.00 90.00°
Element x y z (fractional)
Pb  0.500  0.500  0.500
Zn  0.000  0.500  0.000
Zn  0.000  0.000  0.500
Zn  0.500  0.000  0.000
Cl  0.000  0.000  0.000

---

Entry 8:
Density functional theory data (GGA-PBE) for crystalline K4PrU3Se8 at its relaxed geometry.

SG: R-3m
Formation energy (no corrections), eV per atom: -1.353

Cell: 8.520 9.174 8.520 Å, 117.67 120.00 90.00°
Last column: magnetic moment on the atom in μB.
Element x y z (fractional)
K  0.500  0.000  0.000  0.00
K  0.500  0.000  0.500  0.00
K  0.000  0.000  0.000  0.00
K  0.000  0.000  0.500  0.00
Pr  0.000  0.500  0.000  0.14
U  0.500  0.500  0.000  2.69
U  0.500  0.500  0.500  2.69
U  0.000  0.500  0.500  2.69
Se  0.241  0.711  0.970  -0.04
Se  0.241  0.711  0.481  -0.04
Se  0.265  0.294  0.529  -0.06
Se  0.729  0.711  0.970  -0.04
Se  0.271  0.289  0.030  -0.04
Se  0.735  0.706  0.471  -0.06
Se  0.759  0.289  0.519  -0.04
Se  0.759  0.289  0.030  -0.04

---

Number 1: spin magnetization 1.935 μB/cell. Number 2: spin magnetization 1.407 μB/cell. Number 3: spin magnetization 0.000 μB/cell. Number 4: spin magnetization 1.067 μB/cell. Number 5: spin magnetization 0.000 μB/cell. Number 6: spin magnetization 0.564 μB/cell. Number 7: spin magnetization 0.000 μB/cell. Number 8: spin magnetization 9.009 μB/cell.